The following is a GGA-PBEsol calculation of Zr2AsPt after structural relaxation, from Alexandria.

Results
The calculated formation energy is -850 meV/atom. The calculated volume comes out at 18.05 Å³ per atom. The value obtained for the total energy is -8.413 eV/atom. Its size of the total moment is 0.00 μB/f.u.

```
data_Zr2AsPt
_symmetry_space_group_name_H-M 'I -4 m 2'
_symmetry_Int_Tables_number 119
_symmetry_space_group_name_Hall 'I -4 -2'
_cell_length_a 3.8940
_cell_length_b 3.8940
_cell_length_c 9.5210
_cell_angle_alpha 90.00
_cell_angle_beta 90.00
_cell_angle_gamma 90.00
loop_
_atom_site_label
_atom_site_type_symbol
_atom_site_fract_x
_atom_site_fract_y
_atom_site_fract_z
_atom_site_occupancy
Zr1 Zr 0.0000 0.0000 0.0000 1
Zr2 Zr 0.0000 0.5000 0.2500 1
As1 As 0.0000 0.0000 0.5000 1
Pt1 Pt 0.0000 0.5000 0.7500 1
```